Dy6Ho8Sn | GGA-PBE | optimized geometry

Properties
Crystal system = trigonal
ΔE_f = 3.79 kcal/mol of atoms

a = 9.078 Å, b = 9.078 Å, c = 6.729 Å
α = 90.00°, β = 90.00°, γ = 120.00°
Sites, in units of the cell vectors:
Dy (0.072, 0.681, 0.108)
Dy (0.319, 0.391, 0.108)
Dy (0.391, 0.072, 0.892)
Dy (0.609, 0.928, 0.108)
Dy (0.681, 0.609, 0.892)
Dy (0.928, 0.319, 0.892)
Ho (0.012, 0.322, 0.383)
Ho (0.309, 0.988, 0.383)
Ho (0.322, 0.309, 0.617)
Ho (0.333, 0.667, 0.692)
Ho (0.667, 0.333, 0.308)
Ho (0.678, 0.691, 0.383)
Ho (0.691, 0.012, 0.617)
Ho (0.988, 0.678, 0.617)
Sn (0.000, 0.000, 0.000)

***

NbNiPb2 | GGA-PBE | optimized geometry

Properties
Crystal system = tetragonal
Energy above the lowest structure with this stoichiometry = 0.12 kcal/mol of atoms
ΔE_f = 13.51 kcal/mol of atoms

a = 6.116 Å, b = 6.116 Å, c = 6.116 Å
α = 104.59°, β = 104.59°, γ = 119.75°
Sites, in units of the cell vectors:
Nb (0.000, 0.000, 0.000)
Nb (0.750, 0.250, 0.500)
Ni (0.250, 0.750, 0.500)
Ni (0.500, 0.500, 0.000)
Pb (0.165, 0.625, 0.040)
Pb (0.375, 0.415, 0.540)
Pb (0.585, 0.125, 0.960)
Pb (0.875, 0.835, 0.460)

***

BaAsSe2O | GGA-PBE | optimized geometry

Properties
Formation energy without anion corrections = 978 meV/atom
Crystal system = tetragonal
Energy above the lowest structure with this stoichiometry = 33.01 kcal/mol of atoms

a = 6.410 Å, b = 6.410 Å, c = 6.595 Å
α = 90.00°, β = 90.00°, γ = 90.00°
Sites, in units of the cell vectors:
Ba (0.000, 0.000, 0.000)
As (0.000, 0.000, 0.500)
Se (0.000, 0.500, 0.000)
Se (0.500, 0.000, 0.000)
O (0.500, 0.500, 0.500)

***

CdMo2Au | GGA-PBE | optimized geometry

Properties
Crystal system = trigonal
ΔE_f = 10.48 kcal/mol of atoms

a = 9.867 Å, b = 9.867 Å, c = 9.867 Å
α = 16.68°, β = 16.68°, γ = 16.68°
Sites, in units of the cell vectors:
Cd (0.000, 0.000, 0.000)
Mo (0.248, 0.248, 0.248)
Mo (0.752, 0.752, 0.752)
Au (0.500, 0.500, 0.500)

***

KZr2Sn4 | GGA-PBE | optimized geometry

Properties
Crystal system = tetragonal
ΔE_f = 14.96 kcal/mol of atoms

a = 8.455 Å, b = 8.455 Å, c = 8.455 Å
α = 141.93°, β = 141.93°, γ = 54.93°
Sites, in units of the cell vectors:
K (0.000, 0.000, 0.000)
Zr (0.406, 0.406, 0.000)
Zr (0.594, 0.594, 0.000)
Sn (0.000, 0.500, 0.500)
Sn (0.210, 0.210, 0.000)
Sn (0.500, 0.000, 0.500)
Sn (0.790, 0.790, 0.000)

***

CeYSbAu | GGA-PBE | optimized geometry

Properties
Formation energy without anion corrections = -747 meV/atom
Crystal system = cubic

a = 5.296 Å, b = 5.296 Å, c = 5.296 Å
α = 60.00°, β = 60.00°, γ = 60.00°
Sites, in units of the cell vectors:
Ce (0.000, 0.000, 0.000)
Y (0.500, 0.500, 0.500)
Sb (0.250, 0.250, 0.250)
Au (0.750, 0.750, 0.750)

***

CsNdMn2Br8 | GGA-PBE | optimized geometry

Properties
Formation energy without anion corrections = -1287 meV/atom
Crystal system = trigonal

a = 11.827 Å, b = 11.827 Å, c = 11.827 Å
α = 34.09°, β = 34.09°, γ = 34.09°
Sites, in units of the cell vectors:
Cs (0.000, 0.000, 0.000)
Nd (0.500, 0.500, 0.500)
Mn (0.247, 0.247, 0.247)
Mn (0.753, 0.753, 0.753)
Br (0.125, 0.433, 0.773)
Br (0.227, 0.567, 0.875)
Br (0.320, 0.320, 0.320)
Br (0.433, 0.773, 0.125)
Br (0.567, 0.875, 0.227)
Br (0.680, 0.680, 0.680)
Br (0.773, 0.125, 0.433)
Br (0.875, 0.227, 0.567)

***

SrGa12Au6 | GGA-PBE | optimized geometry

Properties
Crystal system = trigonal
ΔE_f = -4.91 kcal/mol of atoms

a = 7.581 Å, b = 7.581 Å, c = 7.581 Å
α = 104.89°, β = 104.89°, γ = 104.89°
Sites, in units of the cell vectors:
Sr (0.000, 0.000, 0.000)
Ga (0.110, 0.500, 0.890)
Ga (0.110, 0.890, 0.500)
Ga (0.159, 0.406, 0.406)
Ga (0.406, 0.159, 0.406)
Ga (0.406, 0.406, 0.159)
Ga (0.500, 0.110, 0.890)
Ga (0.500, 0.890, 0.110)
Ga (0.594, 0.594, 0.841)
Ga (0.594, 0.841, 0.594)
Ga (0.841, 0.594, 0.594)
Ga (0.890, 0.110, 0.500)
Ga (0.890, 0.500, 0.110)
Au (0.268, 0.727, 0.727)
Au (0.273, 0.273, 0.732)
Au (0.273, 0.732, 0.273)
Au (0.727, 0.268, 0.727)
Au (0.727, 0.727, 0.268)
Au (0.732, 0.273, 0.273)